Computed, not measured: TbPuSiAu after structural relaxation at the PBE-GGA level of DFT.

```
TbPuSiAu
1.0
7.180 0.000 0.000
0.000 7.180 0.000
0.000 0.000 7.180
Tb Pu Si Au
4 4 4 4
Direct
0.000 0.000 0.000
0.000 0.500 0.500
0.500 0.000 0.500
0.500 0.500 0.000
0.000 0.000 0.500
0.000 0.500 0.000
0.500 0.000 0.000
0.500 0.500 0.500
0.250 0.250 0.750
0.250 0.750 0.250
0.750 0.250 0.250
0.750 0.750 0.750
0.250 0.250 0.250
0.250 0.750 0.750
0.750 0.250 0.750
0.750 0.750 0.250
```

Properties
The space group is No. 216. For the formation energy from raw total energies, the calculation gives -0.488 eV/atom. For the total energy, the calculation gives -118.455 eV for the cell shown.

=====

Computed, not measured: TmPuSiAu after structural relaxation at the PBE-GGA level of DFT.

```
TmPuSiAu
1.0
7.118 0.000 0.000
0.000 7.118 0.000
0.000 0.000 7.118
Tm Pu Si Au
4 4 4 4
Direct
0.000 0.000 0.000
0.000 0.500 0.500
0.500 0.000 0.500
0.500 0.500 0.000
0.000 0.000 0.500
0.000 0.500 0.000
0.500 0.000 0.000
0.500 0.500 0.500
0.250 0.250 0.250
0.250 0.750 0.750
0.750 0.250 0.750
0.750 0.750 0.250
0.250 0.250 0.750
0.250 0.750 0.250
0.750 0.250 0.250
0.750 0.750 0.750
```

Properties
The space group is No. 216. For the formation energy from raw total energies, the calculation gives -0.494 eV/atom. For the total energy, the calculation gives -117.921 eV for the cell shown.

=====

Computed, not measured: Pu2ZnSiAu6 after structural relaxation at the PBE-GGA level of DFT.

```
Pu2ZnSiAu6
1.0
0.000 4.863 4.863
4.863 0.000 4.863
4.863 4.863 0.000
Pu Zn Si Au
2 1 1 6
Direct
0.250 0.250 0.250
0.750 0.750 0.750
0.000 0.000 0.000
0.500 0.500 0.500
0.254 0.254 0.746
0.254 0.746 0.254
0.254 0.746 0.746
0.746 0.254 0.254
0.746 0.254 0.746
0.746 0.746 0.254
```

Properties
The space group is No. 225. For the formation energy from raw total energies, the calculation gives -0.100 eV/atom. For the total energy, the calculation gives -56.029 eV for the cell shown.

=====

Computed, not measured: Pu2ZnSi3Au4 after structural relaxation at the PBE-GGA level of DFT.

```
Pu2ZnSi3Au4
1.0
4.278 0.000 0.000
0.000 4.278 0.000
0.000 0.000 10.584
Pu Zn Si Au
2 1 3 4
Direct
0.000 0.500 0.245
0.500 0.000 0.755
0.000 0.000 0.500
0.000 0.500 0.862
0.500 0.000 0.138
0.500 0.500 0.500
0.000 0.000 0.000
0.000 0.500 0.634
0.500 0.000 0.366
0.500 0.500 0.000
```

Properties
The space group is No. 115. For the formation energy from raw total energies, the calculation gives -0.362 eV/atom. For the total energy, the calculation gives -62.933 eV for the cell shown.

=====

Computed, not measured: SmPuAu after structural relaxation at the PBE-GGA level of DFT.

```
SmPuAu
1.0
3.658 0.000 0.000
0.000 3.658 0.000
0.000 0.000 12.156
Sm Pu Au
2 2 2
Direct
0.000 0.000 0.000
0.500 0.500 0.500
0.000 0.000 0.707
0.500 0.500 0.207
0.000 0.000 0.359
0.500 0.500 0.859
```

Properties
The space group is No. 107. For the energy relative to the elements, the calculation gives -0.89 eV per formula unit. The offset from the most stable computed form comes out at 0 meV per atom. For the total energy, the calculation gives -46.441 eV for the cell shown.

=====

Computed, not measured: SmPuAu after structural relaxation at the PBE-GGA level of DFT.

```
SmPuAu
1.0
7.129 0.000 0.000
0.000 7.129 0.000
0.000 0.000 7.129
Sm Pu Au
4 4 4
Direct
0.000 0.000 0.000
0.000 0.500 0.500
0.500 0.000 0.500
0.500 0.500 0.000
0.000 0.000 0.500
0.000 0.500 0.000
0.500 0.000 0.000
0.500 0.500 0.500
0.250 0.250 0.750
0.250 0.750 0.250
0.750 0.250 0.250
0.750 0.750 0.750
```

Properties
The space group is No. 216. For the energy relative to the elements, the calculation gives -0.48 eV per formula unit. The offset from the most stable computed form comes out at 137 meV per atom. For the total energy, the calculation gives -91.233 eV for the cell shown.